Record 1
# Tb3PmPd12 (PBE, optimized geometry)
data_Tb3PmPd12
_chemical_formula_sum 'Tb3 Pm1 Pd12'
_cell_length_a 4.1380
_cell_length_b 4.1380
_cell_length_c 16.6543
_cell_angle_alpha 90.00
_cell_angle_beta 90.00
_cell_angle_gamma 90.00
_space_group_name_H-M_alt 'P 4/m m m'
_space_group_IT_number 123
_space_group_name_Hall '-P 4 2'
loop_
_atom_site_label
_atom_site_type_symbol
_atom_site_fract_x
_atom_site_fract_y
_atom_site_fract_z
_atom_site_occupancy
Tb1 Tb 0.0000 0.0000 0.0000 1
Tb2 Tb 0.0000 0.0000 0.2480 1
Pm1 Pm 0.0000 0.0000 0.5000 1
Pd1 Pd 0.0000 0.5000 0.1242 1
Pd2 Pd 0.0000 0.5000 0.3722 1
Pd3 Pd 0.5000 0.5000 0.0000 1
Pd4 Pd 0.5000 0.5000 0.2486 1
Pd5 Pd 0.5000 0.5000 0.5000 1
# Calculated volume = 285.2 Å³ per cell
# Formation enthalpy at 0 K = -0.85 eV/atom
# Electronic total energy = -94.51 eV per formula unit

***

Record 2
# TbPmPd6 (PBE, optimized geometry)
data_TbPmPd6
_chemical_formula_sum 'Tb1 Pm1 Pd6'
_cell_length_a 4.1625
_cell_length_b 4.1625
_cell_length_c 8.3083
_cell_angle_alpha 90.00
_cell_angle_beta 90.00
_cell_angle_gamma 90.00
_space_group_name_H-M_alt 'P 4/m m m'
_space_group_IT_number 123
_space_group_name_Hall '-P 4 2'
loop_
_atom_site_label
_atom_site_type_symbol
_atom_site_fract_x
_atom_site_fract_y
_atom_site_fract_z
_atom_site_occupancy
Tb1 Tb 0.0000 0.0000 0.0000 1
Pm1 Pm 0.0000 0.0000 0.5000 1
Pd1 Pd 0.0000 0.5000 0.2460 1
Pd2 Pd 0.5000 0.5000 0.0000 1
Pd3 Pd 0.5000 0.5000 0.5000 1
# Calculated volume = 143.9 Å³ per cell
# Formation enthalpy at 0 K = -0.82 eV/atom
# Electronic total energy = -47.14 eV per formula unit

***

Record 3
# TbPmPd (PBE, optimized geometry)
data_TbPmPd
_chemical_formula_sum 'Tb2 Pm2 Pd2'
_cell_length_a 3.9061
_cell_length_b 5.0425
_cell_length_c 8.1712
_cell_angle_alpha 90.00
_cell_angle_beta 90.04
_cell_angle_gamma 90.00
_space_group_name_H-M_alt 'P 1 21/m 1'
_space_group_IT_number 11
loop_
_space_group_symop_operation_xyz
'x,y,z'
'-x,-y,-z'
'-x,y+1/2,-z'
'x,-y+1/2,z'
loop_
_atom_site_label
_atom_site_type_symbol
_atom_site_fract_x
_atom_site_fract_y
_atom_site_fract_z
_atom_site_occupancy
Tb1 Tb 0.2502 0.2500 0.0382 1
Pm1 Pm 0.2504 0.7500 0.3569 1
Pd1 Pd 0.2493 0.7500 0.7095 1
# Calculated volume = 160.9 Å³ per cell
# Formation enthalpy at 0 K = -0.52 eV/atom
# Electronic total energy = -16.13 eV per formula unit
# Energy above the lowest structure with this stoichiometry = 0.159 eV per formula unit

***

Record 4
# TbPm2Pd (PBE, optimized geometry)
data_TbPm2Pd
_chemical_formula_sum 'Tb1 Pm2 Pd1'
_cell_length_a 3.6759
_cell_length_b 3.6759
_cell_length_c 8.4642
_cell_angle_alpha 90.00
_cell_angle_beta 90.00
_cell_angle_gamma 90.00
_space_group_name_H-M_alt 'P 4/m m m'
_space_group_IT_number 123
_space_group_name_Hall '-P 4 2'
loop_
_atom_site_label
_atom_site_type_symbol
_atom_site_fract_x
_atom_site_fract_y
_atom_site_fract_z
_atom_site_occupancy
Tb1 Tb 0.0000 0.0000 0.0000 1
Pm1 Pm 0.5000 0.5000 0.2976 1
Pd1 Pd 0.0000 0.0000 0.5000 1
# Calculated volume = 114.4 Å³ per cell
# Formation enthalpy at 0 K = -0.33 eV/atom
# Electronic total energy = -20.66 eV per formula unit
# Energy above the lowest structure with this stoichiometry = 0.378 eV per formula unit

***

Record 5
# TbPm3Pd3 (PBE, optimized geometry)
data_TbPm3Pd3
_chemical_formula_sum 'Tb4 Pm12 Pd12'
_cell_length_a 9.4283
_cell_length_b 10.6456
_cell_length_c 7.2267
_cell_angle_alpha 90.00
_cell_angle_beta 91.79
_cell_angle_gamma 90.00
_space_group_name_H-M_alt 'C 1 2/m 1'
_space_group_IT_number 12
loop_
_space_group_symop_operation_xyz
'x,y,z'
'-x,-y,-z'
'-x,y,-z'
'x,-y,z'
'x+1/2,y+1/2,z'
'-x+1/2,-y+1/2,-z'
'-x+1/2,y+1/2,-z'
'x+1/2,-y+1/2,z'
loop_
_atom_site_label
_atom_site_type_symbol
_atom_site_fract_x
_atom_site_fract_y
_atom_site_fract_z
_atom_site_occupancy
Tb1 Tb 0.2434 0.0000 0.3757 1
Pm1 Pm 0.0000 0.2470 0.5000 1
Pm2 Pm 0.0000 0.3237 0.0000 1
Pm3 Pm 0.1539 0.0000 0.8702 1
Pd1 Pd 0.0628 0.5000 0.3115 1
Pd2 Pd 0.2400 0.2403 0.2192 1
# Calculated volume = 725.0 Å³ per cell
# Formation enthalpy at 0 K = -0.63 eV/atom
# Electronic total energy = -38.89 eV per formula unit

***

Record 6
# TbPmPd3 (PBE, optimized geometry)
data_TbPmPd3
_chemical_formula_sum 'Tb4 Pm4 Pd12'
_cell_length_a 6.8961
_cell_length_b 7.9671
_cell_length_c 7.8733
_cell_angle_alpha 90.00
_cell_angle_beta 90.00
_cell_angle_gamma 90.00
_space_group_name_H-M_alt 'P n n m'
_space_group_IT_number 58
loop_
_space_group_symop_operation_xyz
'x,y,z'
'-x,-y,-z'
'-x,-y,z'
'x,y,-z'
'x+1/2,-y+1/2,-z+1/2'
'-x+1/2,y+1/2,z+1/2'
'-x+1/2,y+1/2,-z+1/2'
'x+1/2,-y+1/2,z+1/2'
loop_
_atom_site_label
_atom_site_type_symbol
_atom_site_fract_x
_atom_site_fract_y
_atom_site_fract_z
_atom_site_occupancy
Tb1 Tb 0.2161 0.1329 0.0000 1
Pm1 Pm 0.2191 0.1347 0.5000 1
Pd1 Pd 0.0000 0.5000 0.2605 1
Pd2 Pd 0.1152 0.8540 0.2502 1
# Calculated volume = 432.6 Å³ per cell
# Formation enthalpy at 0 K = -0.82 eV/atom
# Electronic total energy = -29.08 eV per formula unit
# Energy above the lowest structure with this stoichiometry = 0.000 eV per formula unit

***

> Among the records above, which one has the lowest calculated volume?

TbPm2Pd

***

> Which value of formation enthalpy at 0 K does entry 2 give?

-0.82 eV/atom